First-principles (meta-GGA SCAN) data for a crystal of ScZnF2 relaxed with PBEsol, as listed in the Alexandria database.

```
ScZnF2
1.0
2.9315 0.0000 0.0000
1.4658 2.5388 0.0000
1.4658 0.8463 8.3060
Sc Zn F
1 1 2
Direct
0.5000 0.5000 0.5000
0.0000 0.0000 0.0000
0.8862 0.8862 0.3414
0.1138 0.1138 0.6586
```

Spin magnetization   0.0 μB/cell
Uncorrected formation energy   -2266.8 meV per atom



First-principles (meta-GGA SCAN) data for a crystal of Ba5Al2Ge7 relaxed with PBEsol, as listed in the Alexandria database.

```
Ba5Al2Ge7
1.0
6.6818 -0.0040 -0.0008
-1.1761 6.5775 -0.0008
-2.7481 -3.2810 17.8788
Ba Al Ge
10 4 14
Direct
0.2484 0.7516 0.0000
0.8778 0.4301 0.7890
0.7096 0.2904 0.5000
0.2379 0.2379 0.6439
0.7621 0.7621 0.3561
0.4301 0.8778 0.7890
0.7516 0.2484 0.0000
0.2904 0.7096 0.5000
0.5699 0.1222 0.2110
0.1222 0.5699 0.2110
0.7743 0.7743 0.0718
0.0762 0.0762 0.2668
0.9238 0.9238 0.7332
0.2257 0.2257 0.9282
0.6360 0.6360 0.6436
0.7013 0.7013 0.9326
0.0624 0.0624 0.1313
0.3640 0.3640 0.3564
0.5858 0.5858 0.1554
0.9376 0.9376 0.8687
0.1799 0.1799 0.4535
0.6643 0.0415 0.6421
0.3357 0.9585 0.3579
0.8201 0.8201 0.5465
0.0415 0.6643 0.6421
0.9585 0.3357 0.3579
0.2987 0.2987 0.0674
0.4142 0.4142 0.8446
```

Spin magnetization   0.0 μB/cell
Energy of formation   -0.58 eV per atom



Which value of spin magnetization does entry 2 give?
0.0 μB/cell